A plane-wave DFT calculation with PBE was carried out for a relaxed structure of Re2AgAu.

```
Re2AgAu
1.0
9.6784 -0.0214 -0.0125
9.2813 2.7442 -0.0125
9.2813 1.3329 2.3988
Re Au Ag
2 1 1
direct
0.0009 0.0009 0.0009
0.4991 0.4991 0.4991
0.7500 0.7500 0.7500
0.2500 0.2500 0.2500
```

Computed properties:
For the polymorph energy (0 for the lowest one), the calculation gives 1.711 eV/f.u. As for the symmetry: R-3m (166).

***

A plane-wave DFT calculation with PBE was carried out for a relaxed structure of Re4AgAu.

```
Re4AgAu
1.0
0.0000 3.7010 3.7010
3.7010 0.0000 3.7010
3.7010 3.7010 0.0000
Re Ag Au
4 1 1
direct
0.8756 0.3748 0.3748
0.3748 0.3748 0.8756
0.3748 0.8756 0.3748
0.3748 0.3748 0.3748
0.7500 0.7500 0.7500
0.0000 0.0000 0.0000
```

Computed properties:
As for the symmetry: F-43m (216).

***

Let's list final energy in order: -0.5235; -0.6294 Ry per atom.
Let's list magnetic moment in order: 0.01; 0.00 μB per atom.